Entry from the Alexandria database: a relaxed structure of FeSiB (PBE-GGA).

Cell: 4.5603 4.8976 6.1313 Å, 90.00 116.93 90.00°
Closest atoms and distances in Å follow each position.
Atoms (fractional coordinates):
1 Fe 0.8991 0.0000 0.0133  4 B 2.02-2.03, 2 Si 2.25
2 Fe 0.7187 0.0000 0.5470  4 B 2.09
3 Fe 0.8991 0.5000 0.5133  4 B 2.02-2.03, 2 Si 2.25
4 Fe 0.7187 0.5000 0.0470  4 B 2.09
5 B 0.8540 0.6769 0.7952  1 B 1.73
6 B 0.8540 0.3231 0.7952  1 B 1.73
7 B 0.8540 0.1769 0.2952  1 B 1.73
8 B 0.8540 0.8231 0.2952  1 B 1.73
9 Si 0.3432 0.7666 0.7158  1 B 2.20, 2 Fe 2.25-2.37, 1 Si 2.29
10 Si 0.3432 0.7334 0.2158  1 B 2.20, 2 Fe 2.25-2.37, 1 Si 2.29
11 Si 0.3432 0.2334 0.7158  1 B 2.20, 2 Fe 2.25-2.37, 1 Si 2.29
12 Si 0.3432 0.2666 0.2158  1 B 2.20, 2 Fe 2.25-2.37, 1 Si 2.29

Distance to the lowest polymorph of the same formula, meV per atom: 164
DOS at the Fermi energy, states/eV per atom: 0.20
Electronic total energy, eV per formula unit: -20.95
Magnetic moment, μB/f.u.: 0.00

Entry from the Alexandria database: a relaxed structure of FeSiB3 (PBE-GGA).

Cell: 3.8653 3.8653 3.8653 Å, 90.00 90.00 90.00°
Closest atoms and distances in Å follow each position.
Atoms (fractional coordinates):
1 B 0.0000 0.5000 0.0000  2 Si 1.93
2 B 0.5000 0.0000 0.0000  2 Si 1.93
3 B 0.0000 0.0000 0.5000  2 Si 1.93
4 Si 0.0000 0.0000 0.0000  6 B 1.93
5 Fe 0.5000 0.5000 0.5000  12 B 2.73

Distance to the lowest polymorph of the same formula, meV per atom: 832
DOS at the Fermi energy, states/eV per atom: 1.48
Electronic total energy, eV per formula unit: -24.32
Magnetic moment, μB/f.u.: 0.01

Entry from the Alexandria database: a relaxed structure of FeSiB (PBE-GGA).

Cell: 5.0606 4.0335 6.9910 Å, 90.00 131.19 90.00°
Closest atoms and distances in Å follow each position.
Atoms (fractional coordinates):
1 Si 0.5339 0.5000 0.3179  4 B 2.10-2.25, 1 Fe 2.35
2 Si 0.1853 0.0000 0.9901  4 B 2.18-2.39, 3 Fe 2.35-2.39
3 Si 0.5339 0.0000 0.8179  4 B 2.10-2.25, 1 Fe 2.35
4 Si 0.1853 0.5000 0.4901  4 B 2.18-2.39, 3 Fe 2.35-2.39
5 B 0.7458 0.2135 0.1681  1 B 1.72
6 B 0.7458 0.7135 0.6681  1 B 1.72
7 B 0.7458 0.7865 0.1681  1 B 1.72
8 B 0.7458 0.2865 0.6681  1 B 1.72
9 Fe 0.9175 0.5000 0.0122  4 B 2.13, 1 Si 2.35
10 Fe 0.9175 0.0000 0.5122  4 B 2.13, 1 Si 2.35
11 Fe 0.2889 0.0000 0.3766  4 B 2.15-2.27, 3 Si 2.35-2.39
12 Fe 0.2889 0.5000 0.8766  4 B 2.15-2.27, 3 Si 2.35-2.39

Distance to the lowest polymorph of the same formula, meV per atom: 143
DOS at the Fermi energy, states/eV per atom: 0.05
Electronic total energy, eV per formula unit: -21.01
Magnetic moment, μB/f.u.: 0.00

Entry from the Alexandria database: a relaxed structure of Fe3SiB (PBE-GGA).

Cell: 4.1519 4.1519 4.1519 Å, 90.00 90.00 90.00°
Closest atoms and distances in Å follow each position.
Atoms (fractional coordinates):
1 Fe 0.5000 0.0000 0.0000  2 Si 2.08
2 Fe 0.0000 0.5000 0.0000  2 Si 2.08
3 Fe 0.0000 0.0000 0.5000  2 Si 2.08
4 Si 0.0000 0.0000 0.0000  6 Fe 2.08
5 B 0.5000 0.5000 0.5000  12 Fe 2.94

Distance to the lowest polymorph of the same formula, meV per atom: 1531
DOS at the Fermi energy, states/eV per atom: 0.99
Electronic total energy, eV per formula unit: -30.48
Magnetic moment, μB/f.u.: 5.85

Entry from the Alexandria database: a relaxed structure of Fe2SiB (PBE-GGA).

Cell: 3.7274 3.7274 3.7274 Å, 60.00 60.00 60.00°
Closest atoms and distances in Å follow each position.
Atoms (fractional coordinates):
1 Si 0.5000 0.5000 0.5000  8 Fe 2.28
2 Fe 0.7500 0.7500 0.7500  4 B 2.28, 4 Si 2.28
3 Fe 0.2500 0.2500 0.2500  4 B 2.28, 4 Si 2.28
4 B 0.0000 0.0000 0.0000  8 Fe 2.28

Distance to the lowest polymorph of the same formula, meV per atom: 77
DOS at the Fermi energy, states/eV per atom: 0.63
Electronic total energy, eV per formula unit: -29.66
Magnetic moment, μB/f.u.: 0.00

Entry from the Alexandria database: a relaxed structure of SmFe2Si2B (PBE-GGA).

Cell: 3.9064 3.9064 5.2839 Å, 90.00 90.00 90.00°
Closest atoms and distances in Å follow each position.
Atoms (fractional coordinates):
1 Fe 0.0000 0.5000 0.0000  2 B 1.95
2 Fe 0.5000 0.0000 0.0000  2 B 1.95
3 Sm 0.0000 0.0000 0.5000  2 B 2.64
4 B 0.0000 0.0000 0.0000  4 Fe 1.95
5 Si 0.5000 0.5000 0.7341  4 Fe 2.41, 1 Si 2.47
6 Si 0.5000 0.5000 0.2659  4 Fe 2.41, 1 Si 2.47

DOS at the Fermi energy, states/eV per atom: 0.50
Electronic total energy, eV per formula unit: -42.54
Magnetic moment, μB/f.u.: 0.00